No. 1
Below is a relaxed CaAg3Pd crystal, with properties calculated at the PBE level.

Values from the calculation:
The energy above the most stable polymorph in this dataset is 201.5 kJ/mol of formula units. The symmetry is No. 221.

a b c (Å): 5.0815 5.0815 5.0815
angles (deg): 90.00 90.00 90.00
Fractional positions:
Ag 0.5000 0.0000 0.0000
Ag 0.0000 0.5000 0.0000
Ag 0.0000 0.0000 0.5000
Pd 0.0000 0.0000 0.0000
Ca 0.5000 0.5000 0.5000

***

No. 2
Below is a relaxed CaAg3Pd crystal, with properties calculated at the PBE level.

Values from the calculation:
The energy above the most stable polymorph in this dataset is 651.6 kJ/mol of formula units. The symmetry is No. 221.

a b c (Å): 5.1920 5.1920 5.1920
angles (deg): 90.00 90.00 90.00
Fractional positions:
Ag 0.0000 0.0000 0.5000
Ag 0.5000 0.0000 0.0000
Ag 0.0000 0.5000 0.0000
Pd 0.5000 0.5000 0.5000
Ca 0.0000 0.0000 0.0000

***

No. 3
Below is a relaxed Ca2AgPd crystal, with properties calculated at the PBE level.

Values from the calculation:
The symmetry is No. 11.

a b c (Å): 4.5293 5.9018 8.0672
angles (deg): 110.04 90.00 90.00
Fractional positions:
Pd 0.2500 0.3508 0.2111
Pd 0.7500 0.6492 0.7889
Ca 0.2500 0.7880 0.0646
Ca 0.2500 0.7717 0.5747
Ca 0.7500 0.2283 0.4253
Ca 0.7500 0.2120 0.9354
Ag 0.7500 0.6589 0.2862
Ag 0.2500 0.3411 0.7138

***

No. 4
Below is a relaxed Ca2Ag3Pd2 crystal, with properties calculated at the PBE level.

Values from the calculation:
The symmetry is No. 12.

a b c (Å): 4.1375 5.4345 7.2122
angles (deg): 95.85 90.00 112.38
Fractional positions:
Ca 0.6223 0.2446 0.3330
Ca 0.3777 0.7554 0.6670
Ag 0.3107 0.6214 0.1110
Ag 0.0000 0.0000 0.0000
Ag 0.6893 0.3786 0.8890
Pd 0.0898 0.1796 0.6506
Pd 0.9102 0.8204 0.3494

***

No. 5
Below is a relaxed Ca2Ag2Pd crystal, with properties calculated at the PBE level.

Values from the calculation:
The energy above the most stable polymorph in this dataset is 15.7 kJ/mol of formula units. The symmetry is No. 139.

a b c (Å): 3.7900 3.7900 8.9325
angles (deg): 77.75 77.75 90.00
Fractional positions:
Ca 0.5981 0.5981 0.8039
Ca 0.4019 0.4019 0.1961
Ag 0.7500 0.2500 0.5000
Ag 0.2500 0.7500 0.5000
Pd 0.0000 0.0000 0.0000

***

No. 6
Below is a relaxed CaAg2Pd4 crystal, with properties calculated at the PBE level.

Values from the calculation:
The symmetry is No. 12.

a b c (Å): 5.3671 5.5663 5.5664
angles (deg): 76.55 61.26 61.26
Fractional positions:
Ag 0.7512 0.4988 0.4988
Ag 0.2487 0.5012 0.5012
Pd 0.3025 0.9999 0.3969
Pd 0.3026 0.3968 0.9999
Pd 0.6974 0.6032 0.0001
Pd 0.6975 0.0001 0.6031
Ca 0.0002 0.0000 0.0000

***

No. 7
Below is a relaxed Ca2Ag2Pd crystal, with properties calculated at the PBE level.

Values from the calculation:
The energy above the most stable polymorph in this dataset is 0.0 kJ/mol of formula units. The symmetry is No. 127.

a b c (Å): 7.4858 7.4858 4.2153
angles (deg): 90.00 90.00 90.00
Fractional positions:
Pd 0.0000 0.0000 0.0000
Pd 0.5000 0.5000 0.0000
Ag 0.8697 0.6303 0.0000
Ag 0.1303 0.3697 0.0000
Ag 0.6303 0.1303 0.0000
Ag 0.3697 0.8697 0.0000
Ca 0.8216 0.3216 0.5000
Ca 0.3216 0.1784 0.5000
Ca 0.6784 0.8216 0.5000
Ca 0.1784 0.6784 0.5000

***

No. 8
Below is a relaxed Ca5AgPd2 crystal, with properties calculated at the PBE level.

Values from the calculation:
The symmetry is No. 140.

a b c (Å): 7.8406 7.8406 9.1096
angles (deg): 115.49 115.49 90.00
Fractional positions:
Ca 0.3042 0.8042 0.2749
Ca 0.8042 0.9707 0.2749
Ca 0.0000 0.0000 0.0000
Ca 0.5293 0.6958 0.7251
Ca 0.1958 0.0293 0.7251
Ca 0.6958 0.1958 0.7251
Ca 0.5000 0.5000 0.0000
Ca 0.4707 0.3042 0.2749
Ca 0.9707 0.4707 0.2749
Ca 0.0293 0.5293 0.7251
Pd 0.3715 0.8715 0.0000
Pd 0.1285 0.3715 0.0000
Pd 0.6285 0.1285 0.0000
Pd 0.8715 0.6285 0.0000
Ag 0.2500 0.2500 0.5000
Ag 0.7500 0.7500 0.5000

***

No. 9
Below is a relaxed Ca7Ag2Pd2 crystal, with properties calculated at the PBE level.

Values from the calculation:
The energy above the most stable polymorph in this dataset is 0.0 kJ/mol of formula units. The symmetry is No. 44.

a b c (Å): 4.1430 9.5125 9.5125
angles (deg): 61.37 77.42 77.42
Fractional positions:
Ca 0.5000 0.0153 0.9847
Ca 0.1854 0.7101 0.9190
Ca 0.8584 0.4083 0.8749
Ca 0.3802 0.7218 0.5177
Ca 0.1416 0.1251 0.5917
Ca 0.6198 0.4823 0.2782
Ca 0.8146 0.0810 0.2899
Pd 0.7389 0.8582 0.6639
Pd 0.2611 0.3361 0.1418
Ag 0.0000 0.7722 0.2278
Ag 0.5000 0.3435 0.6565

***

No. 10
Below is a relaxed CaAg3Pd crystal, with properties calculated at the PBE level.

Values from the calculation:
The energy above the most stable polymorph in this dataset is 0.0 kJ/mol of formula units. The symmetry is No. 11.

a b c (Å): 4.3798 6.5601 6.7727
angles (deg): 87.97 90.00 90.00
Fractional positions:
Ca 0.9756 0.9096 0.2153
Ca 0.4756 0.4432 0.6862
Ag 0.9756 0.1165 0.7889
Ag 0.4756 0.2362 0.1127
Ag 0.9756 0.3459 0.3925
Ag 0.9756 0.5151 0.0008
Ag 0.4756 0.0069 0.5090
Ag 0.4756 0.8377 0.9008
Pd 0.9756 0.7296 0.6159
Pd 0.4756 0.6232 0.2857

***

No. 11
Below is a relaxed Ca6AgPd2 crystal, with properties calculated at the PBE level.

Values from the calculation:
The symmetry is No. 71.

a b c (Å): 8.8456 8.8456 8.8456
angles (deg): 103.13 111.27 114.21
Fractional positions:
Pd 0.6855 0.0000 0.6855
Pd 0.5000 0.6295 0.1295
Pd 0.3145 0.0000 0.3145
Pd 0.5000 0.3705 0.8705
Ca 0.3164 0.6563 0.3400
Ca 0.1944 0.7582 0.9526
Ca 0.4642 0.2874 0.1769
Ca 0.8056 0.2418 0.0474
Ca 0.5358 0.7126 0.8231
Ca 0.1944 0.2418 0.4362
Ca 0.6836 0.0236 0.3400
Ca 0.3164 0.9764 0.6600
Ca 0.6836 0.3437 0.6600
Ca 0.1105 0.2874 0.8231
Ca 0.8056 0.7582 0.5638
Ca 0.8895 0.7126 0.1769
Ag 0.0000 0.0000 0.0000
Ag 0.0000 0.5000 0.5000

***

No. 12
Below is a relaxed Ca6AgPd crystal, with properties calculated at the PBE level.

Values from the calculation:
The symmetry is No. 139.

a b c (Å): 5.2329 5.2329 10.1834
angles (deg): 75.11 75.11 90.00
Fractional positions:
Ca 0.7496 0.7496 0.5009
Ca 0.0923 0.5923 0.8155
Ca 0.9077 0.4077 0.1845
Ca 0.2504 0.2504 0.4991
Ca 0.5923 0.0923 0.8155
Ca 0.4077 0.9077 0.1845
Ag 0.0000 0.0000 0.0000
Pd 0.5000 0.5000 0.0000

***

No. 13
Below is a relaxed Ca4AgPd3 crystal, with properties calculated at the PBE level.

Values from the calculation:
The symmetry is No. 123.

a b c (Å): 5.0564 7.1551 10.1108
angles (deg): 90.00 90.00 90.00
Fractional positions:
Pd 0.4992 0.5000 0.2500
Pd 0.5008 0.5000 0.7500
Pd 0.0000 0.0000 0.5000
Pd 0.4993 0.0000 0.2500
Pd 0.5007 0.0000 0.7500
Pd 0.0000 0.0000 0.0000
Ag 0.0000 0.5000 0.0000
Ag 0.0000 0.5000 0.5000
Ca 0.9997 0.7588 0.2500
Ca 0.5000 0.2413 0.5000
Ca 0.0003 0.2412 0.7500
Ca 0.5000 0.7587 0.5000
Ca 0.9997 0.2412 0.2500
Ca 0.0003 0.7588 0.7500
Ca 0.5000 0.2413 0.0000
Ca 0.5000 0.7587 0.0000

***

No. 14
Below is a relaxed Ca3Ag3Pd2 crystal, with properties calculated at the PBE level.

Values from the calculation:
The symmetry is No. 189.

a b c (Å): 3.9681 7.2961 7.2961
angles (deg): 120.00 90.00 90.00
Fractional positions:
Ca 0.5000 0.6030 0.0000
Ca 0.5000 0.3970 0.3970
Ca 0.5000 0.0000 0.6030
Ag 0.0000 0.7677 0.7677
Ag 0.0000 0.0000 0.2323
Ag 0.0000 0.2323 0.0000
Pd 0.0000 0.3333 0.6667
Pd 0.0000 0.6667 0.3333

***

No. 15
Below is a relaxed Ca2AgPd crystal, with properties calculated at the PBE level.

Values from the calculation:
The symmetry is No. 122.

a b c (Å): 7.9171 7.9171 6.4588
angles (deg): 52.20 52.20 90.00
Fractional positions:
Ag 0.7500 0.2500 0.5000
Ag 0.0000 0.0000 0.0000
Ca 0.8750 0.8539 0.7500
Ca 0.6039 0.1250 0.2500
Ca 0.3750 0.3961 0.7500
Ca 0.1461 0.6250 0.2500
Pd 0.2500 0.7500 0.5000
Pd 0.5000 0.5000 0.0000

***

No. 16
Below is a relaxed Ca3AgPd crystal, with properties calculated at the PBE level.

Values from the calculation:
The energy above the most stable polymorph in this dataset is 37.2 kJ/mol of formula units. The symmetry is No. 15.

a b c (Å): 8.2130 8.3348 8.3348
angles (deg): 84.24 90.01 90.01
Fractional positions:
Ca 0.6867 0.9283 0.5717
Ca 0.0899 0.6913 0.5078
Ca 0.3133 0.0717 0.4283
Ca 0.5899 0.5078 0.6913
Ca 0.8133 0.4283 0.0717
Ca 0.9101 0.3087 0.4922
Ca 0.0898 0.9932 0.8090
Ca 0.4101 0.4922 0.3087
Ca 0.5898 0.8090 0.9932
Ca 0.4102 0.1910 0.0068
Ca 0.1867 0.5717 0.9283
Ca 0.9102 0.0068 0.1910
Pd 0.3698 0.8010 0.7005
Pd 0.8698 0.7005 0.8010
Pd 0.1302 0.2995 0.1990
Pd 0.6302 0.1990 0.2995
Ag 0.7500 0.6555 0.3445
Ag 0.2500 0.8442 0.1558
Ag 0.7500 0.1558 0.8442
Ag 0.2500 0.3445 0.6555

***

No. 17
Below is a relaxed Ca2Ag6Pd crystal, with properties calculated at the PBE level.

Values from the calculation:
The symmetry is No. 12.

a b c (Å): 4.8441 5.4031 8.4296
angles (deg): 117.48 106.70 90.00
Fractional positions:
Ag 0.5982 0.2101 0.1963
Ag 0.7999 0.4695 0.5998
Ag 0.4018 0.7899 0.8037
Ag 0.2001 0.5305 0.4002
Ag 0.7006 0.8378 0.4012
Ag 0.2994 0.1622 0.5988
Pd 0.5000 0.5000 0.0000
Ca 0.9215 0.1501 0.8430
Ca 0.0785 0.8499 0.1570

***

No. 18
Below is a relaxed Ca3Ag2Pd2 crystal, with properties calculated at the PBE level.

Values from the calculation:
The symmetry is No. 65.

a b c (Å): 4.0685 3.8789 10.7496
angles (deg): 90.00 79.09 90.00
Fractional positions:
Ca 0.8273 0.0000 0.3453
Ca 0.1727 0.0000 0.6547
Ca 0.0000 0.0000 0.0000
Pd 0.2936 0.5000 0.4127
Pd 0.7064 0.5000 0.5873
Ag 0.5741 0.5000 0.8519
Ag 0.4259 0.5000 0.1481

***

No. 19
Below is a relaxed Ca4Ag3Pd crystal, with properties calculated at the PBE level.

Values from the calculation:
The energy above the most stable polymorph in this dataset is 9.7 kJ/mol of formula units. The symmetry is No. 123.

a b c (Å): 3.6749 3.6749 14.6296
angles (deg): 90.00 90.00 90.00
Fractional positions:
Ag 0.5000 0.5000 0.5000
Ag 0.5000 0.5000 0.7562
Ag 0.5000 0.5000 0.2438
Ca 0.0000 0.0000 0.8845
Ca 0.0000 0.0000 0.6276
Ca 0.0000 0.0000 0.1155
Ca 0.0000 0.0000 0.3724
Pd 0.5000 0.5000 0.0000

***

No. 20
Below is a relaxed Ca11Ag9Pd4 crystal, with properties calculated at the PBE level.

Values from the calculation:
The symmetry is No. 65.

a b c (Å): 3.7637 12.9731 12.9731
angles (deg): 112.89 90.00 90.00
Fractional positions:
Pd 0.5000 0.4502 0.2543
Pd 0.5000 0.5498 0.7457
Pd 0.5000 0.2543 0.4502
Pd 0.5000 0.7457 0.5498
Ca 0.0000 0.6324 0.3676
Ca 0.0000 0.8338 0.1662
Ca 0.0000 0.0000 0.0000
Ca 0.0000 0.4133 0.0735
Ca 0.0000 0.2982 0.2982
Ca 0.0000 0.5867 0.9265
Ca 0.0000 0.1662 0.8338
Ca 0.0000 0.3676 0.6324
Ca 0.0000 0.9265 0.5867
Ca 0.0000 0.7018 0.7018
Ca 0.0000 0.0735 0.4133
Ag 0.5000 0.8414 0.3698
Ag 0.5000 0.2158 0.0711
Ag 0.5000 0.5000 0.5000
Ag 0.5000 0.9289 0.7842
Ag 0.5000 0.0711 0.2158
Ag 0.5000 0.1586 0.6302
Ag 0.5000 0.3698 0.8414
Ag 0.5000 0.6302 0.1586
Ag 0.5000 0.7842 0.9289

***

No. 21
Below is a relaxed Ca2Ag2Pd crystal, with properties calculated at the PBE level.

Values from the calculation:
The energy above the most stable polymorph in this dataset is 80.2 kJ/mol of formula units. The symmetry is No. 139.

a b c (Å): 5.7173 5.7173 5.6819
angles (deg): 59.79 59.79 90.00
Fractional positions:
Ag 0.6625 0.6625 0.6750
Ag 0.3375 0.3375 0.3250
Ca 0.7500 0.2500 0.5000
Ca 0.2500 0.7500 0.5000
Pd 0.0000 0.0000 0.0000

***

No. 22
Below is a relaxed Ca4Ag2Pd3 crystal, with properties calculated at the PBE level.

Values from the calculation:
The symmetry is No. 12.

a b c (Å): 4.7907 5.6133 8.7413
angles (deg): 80.86 89.99 64.77
Fractional positions:
Pd 0.3684 0.2634 0.4370
Pd 0.6316 0.7366 0.5630
Pd 0.0000 0.0000 0.0000
Ca 0.9237 0.1520 0.6569
Ca 0.3583 0.2834 0.1002
Ca 0.0763 0.8480 0.3431
Ca 0.6417 0.7166 0.8998
Ag 0.2428 0.5143 0.7159
Ag 0.7572 0.4857 0.2841

***

Summary of formation energy from the elements in kJ/mol of atoms
16.2; 106.2; -50.5; -38.7; -28.6; -25.4; -31.8; -49.2; -39.9; -24.1; -41.9; -24.5; -57.0; -44.7; -21.8; -34.9; -19.2; -45.3; -38.9; -41.6; -15.7; -46.7
(order as listed above)
Summary of spin magnetization in μB/cell
0.000; 0.000; 0.000; 0.000; 0.000; 0.000; 0.000; 0.000; 0.000; 0.000; 0.000; 0.000; 0.000; 0.000; 0.000; 0.000; 0.000; 0.000; 0.000; 0.000; 0.000; 0.000
(order as listed above)